# 1
{"formula": "Ta2BeBr", "functional": "PBE", "state": "optimized geometry", "lattice": [[3.028, 0.000, 0.000], [0.000, 3.028, 0.000], [0.000, 0.000, 6.993]], "species": ["Be", "Br", "Ta", "Ta"], "fractional_positions": [[0.500, 0.500, 0.250], [0.500, 0.500, 0.750], [0.000, 0.000, 0.040], [0.000, 0.000, 0.460]], "sg": "P4/mmm, No. 123", "polymorph_energy_mev_per_atom": 201}

# 2
{"formula": "TaBe2Br", "functional": "PBE", "state": "optimized geometry", "lattice": [[2.420, -3.536, -1.056], [-1.586, -2.994, -2.827], [1.738, -0.357, -4.041]], "species": ["Be", "Be", "Br", "Ta"], "fractional_positions": [[0.250, 0.250, 0.250], [0.750, 0.750, 0.750], [0.000, 0.000, 0.000], [0.500, 0.500, 0.500]], "sg": "Fm-3m, No. 225", "polymorph_energy_mev_per_atom": 947}

# 3
{"formula": "Ta2BeWBr", "functional": "PBE", "state": "optimized geometry", "lattice": [[4.584, 0.000, 0.000], [0.000, 4.208, 0.000], [0.000, 0.000, 4.584]], "species": ["Be", "Br", "W", "Ta", "Ta"], "fractional_positions": [[0.000, 0.000, 0.000], [0.500, 0.500, 0.500], [0.000, 0.500, 0.000], [0.000, 0.000, 0.500], [0.500, 0.000, 0.000]], "sg": "P4/mmm, No. 123"}

# 4
{"formula": "YTa2BeBr", "functional": "PBE", "state": "optimized geometry", "lattice": [[4.829, 0.000, 0.000], [0.000, 4.538, 0.000], [0.000, 0.000, 4.829]], "species": ["Y", "Be", "Br", "Ta", "Ta"], "fractional_positions": [[0.500, 0.500, 0.500], [0.000, 0.500, 0.000], [0.000, 0.000, 0.000], [0.000, 0.000, 0.500], [0.500, 0.000, 0.000]], "sg": "P4/mmm, No. 123"}

# 5
{"formula": "Tb3BeBr3", "functional": "PBE", "state": "optimized geometry", "lattice": [[9.400, 0.000, -3.323], [-4.700, 8.140, -3.323], [0.000, 0.000, 9.970]], "species": ["Tb", "Tb", "Tb", "Tb", "Tb", "Tb", "Tb", "Tb", "Tb", "Tb", "Tb", "Tb", "Be", "Be", "Be", "Be", "Br", "Br", "Br", "Br", "Br", "Br", "Br", "Br", "Br", "Br", "Br", "Br"], "fractional_positions": [[0.972, 0.486, 0.236], [0.514, 0.028, 0.264], [0.250, 0.014, 0.486], [0.986, 0.750, 0.014], [0.986, 0.236, 0.472], [0.764, 0.014, 0.028], [0.736, 0.472, 0.486], [0.764, 0.750, 0.236], [0.528, 0.264, 0.014], [0.250, 0.236, 0.264], [0.736, 0.264, 0.750], [0.514, 0.486, 0.750], [0.750, 0.500, 0.000], [0.500, 0.250, 0.500], [0.750, 0.250, 0.250], [0.000, 0.000, 0.250], [0.242, 0.992, 0.984], [0.750, 0.758, 0.742], [0.484, 0.742, 0.992], [0.008, 0.250, 0.992], [0.258, 0.742, 0.250], [0.492, 0.508, 0.250], [0.242, 0.250, 0.758], [0.258, 0.516, 0.508], [0.750, 0.992, 0.508], [0.016, 0.508, 0.758], [0.008, 0.758, 0.516], [0.492, 0.984, 0.742]], "sg": "I4_132, No. 214"}

# 6
{"formula": "TbBeBr", "functional": "PBE", "state": "optimized geometry", "lattice": [[4.070, 0.000, 0.000], [0.000, 3.930, 0.000], [-2.035, 0.000, 10.865]], "species": ["Be", "Be", "Br", "Br", "Tb", "Tb"], "fractional_positions": [[0.487, 0.750, 0.973], [0.513, 0.250, 0.027], [0.832, 0.750, 0.664], [0.168, 0.250, 0.336], [0.925, 0.250, 0.850], [0.075, 0.750, 0.150]], "sg": "Cmcm, No. 63"}

# 7
{"formula": "Tb4BeBr5", "functional": "PBE", "state": "optimized geometry", "lattice": [[-0.832, 3.794, -0.357], [2.099, -0.313, -8.212], [-8.488, -3.860, 0.072]], "species": ["Tb", "Tb", "Tb", "Tb", "Be", "Br", "Br", "Br", "Br", "Br"], "fractional_positions": [[0.648, 0.078, 0.295], [0.000, 0.222, 0.000], [0.352, 0.922, 0.705], [0.000, 0.778, 0.000], [0.500, 0.000, 0.000], [0.166, 0.337, 0.333], [0.174, 0.835, 0.348], [0.826, 0.165, 0.652], [0.500, 0.500, 0.000], [0.834, 0.663, 0.667]], "sg": "C2/m, No. 12"}

# 8
{"formula": "Be2TcBr", "functional": "PBE", "state": "optimized geometry", "lattice": [[2.940, -0.001, 0.000], [-1.178, 2.694, 0.000], [0.000, 0.000, 7.302]], "species": ["Be", "Be", "Tc", "Br"], "fractional_positions": [[0.000, 0.000, 0.972], [0.000, 0.000, 0.528], [0.500, 0.500, 0.750], [0.500, 0.500, 0.250]], "sg": "Cmmm, No. 65", "polymorph_energy_mev_per_atom": 238}

# 9
{"formula": "BeTcBr2", "functional": "PBE", "state": "optimized geometry", "lattice": [[3.473, 7.235, -0.268], [5.582, 5.426, -1.969], [2.935, 6.643, -3.426]], "species": ["Be", "Tc", "Br", "Br"], "fractional_positions": [[0.500, 0.500, 0.500], [0.000, 0.000, 0.000], [0.894, 0.894, 0.894], [0.106, 0.106, 0.106]], "sg": "R-3m, No. 166", "polymorph_energy_mev_per_atom": 438}

# 10
{"formula": "BeTc2Br", "functional": "PBE", "state": "optimized geometry", "lattice": [[4.287, 0.000, 0.000], [0.000, 4.287, 0.000], [0.000, 0.000, 2.987]], "species": ["Be", "Tc", "Tc", "Br"], "fractional_positions": [[0.500, 0.000, 0.500], [0.000, 0.000, 0.000], [0.500, 0.500, 0.000], [0.000, 0.500, 0.500]], "sg": "P4/mmm, No. 123", "polymorph_energy_mev_per_atom": 481}

# 11
{"formula": "Be2TcBr", "functional": "PBE", "state": "optimized geometry", "lattice": [[3.572, 0.000, 0.000], [0.000, 4.489, 0.000], [0.000, 0.000, 3.263]], "species": ["Be", "Be", "Tc", "Br"], "fractional_positions": [[0.000, 0.000, 0.000], [0.500, 0.500, 0.000], [0.000, 0.500, 0.500], [0.500, 0.000, 0.500]], "sg": "Pmmm, No. 47", "polymorph_energy_mev_per_atom": 429}

# 12
{"formula": "BeTcBr2", "functional": "PBE", "state": "optimized geometry", "lattice": [[-3.166, -0.568, 0.250], [1.118, -4.782, 3.302], [-0.148, 2.341, 3.440]], "species": ["Be", "Tc", "Br", "Br"], "fractional_positions": [[0.000, 0.500, 0.500], [0.500, 0.000, 0.500], [0.000, 0.000, 0.000], [0.500, 0.500, 0.000]], "sg": "Pmmm, No. 47", "polymorph_energy_mev_per_atom": 833}

# 13
{"formula": "BeTcBr", "functional": "PBE", "state": "optimized geometry", "lattice": [[-3.585, 0.856, -4.604], [2.741, -1.939, -0.056], [-0.970, -1.483, 4.526]], "species": ["Be", "Tc", "Br"], "fractional_positions": [[0.987, 0.460, 0.996], [0.539, 0.511, 0.445], [0.261, 0.203, 0.726]], "sg": "P1, No. 1", "polymorph_energy_mev_per_atom": 0}

# 14
{"formula": "Be2TcBr", "functional": "PBE", "state": "optimized geometry", "lattice": [[-0.928, 0.541, 4.621], [-0.274, -4.053, 2.451], [3.112, 1.882, -3.047]], "species": ["Be", "Be", "Tc", "Br"], "fractional_positions": [[0.000, 0.000, 0.000], [0.500, 0.500, 0.000], [0.750, 0.250, 0.500], [0.250, 0.750, 0.500]], "sg": "I4/mmm, No. 139", "polymorph_energy_mev_per_atom": 635}

# 15
{"formula": "BeTcBr2", "functional": "PBE", "state": "optimized geometry", "lattice": [[8.075, 0.030, -0.007], [6.645, 4.587, 0.007], [-7.409, -2.152, 2.383]], "species": ["Be", "Tc", "Br", "Br"], "fractional_positions": [[0.250, 0.750, 0.500], [0.750, 0.250, 0.500], [0.120, 0.120, 0.000], [0.380, 0.380, 0.000]], "sg": "Immm, No. 71", "polymorph_energy_mev_per_atom": 0}

# 16
{"formula": "Be3TcBr", "functional": "PBE", "state": "optimized geometry", "lattice": [[-1.987, -0.645, 3.819], [2.376, -3.593, 0.629], [3.059, 2.372, 1.991]], "species": ["Be", "Be", "Be", "Tc", "Br"], "fractional_positions": [[0.000, 0.500, 0.000], [0.000, 0.000, 0.500], [0.500, 0.000, 0.000], [0.000, 0.000, 0.000], [0.500, 0.500, 0.500]], "sg": "Pm-3m, No. 221", "polymorph_energy_mev_per_atom": 0}

# 17
{"formula": "BeTcBr2", "functional": "PBE", "state": "optimized geometry", "lattice": [[0.000, 3.211, 3.211], [3.211, 0.000, 3.211], [3.211, 3.211, 0.000]], "species": ["Be", "Tc", "Br", "Br"], "fractional_positions": [[0.000, 0.000, 0.000], [0.500, 0.500, 0.500], [0.250, 0.250, 0.250], [0.750, 0.750, 0.750]], "sg": "Fm-3m, No. 225", "polymorph_energy_mev_per_atom": 882}

# 18
{"formula": "Be2TcBr", "functional": "PBE", "state": "optimized geometry", "lattice": [[0.998, -3.997, -0.882], [-0.667, -3.019, 2.863], [-3.046, -2.846, -0.610]], "species": ["Be", "Be", "Tc", "Br"], "fractional_positions": [[0.250, 0.250, 0.250], [0.750, 0.750, 0.750], [0.500, 0.500, 0.500], [0.000, 0.000, 0.000]], "sg": "Fm-3m, No. 225", "polymorph_energy_mev_per_atom": 831}

# 19
{"formula": "BeTc2Br", "functional": "PBE", "state": "optimized geometry", "lattice": [[-2.365, -3.004, -2.239], [4.924, -0.284, -0.809], [0.974, -2.538, 1.632]], "species": ["Be", "Tc", "Tc", "Br"], "fractional_positions": [[0.000, 0.500, 0.500], [0.000, 0.000, 0.000], [0.500, 0.000, 0.500], [0.500, 0.500, 0.000]], "sg": "C2/m, No. 12", "polymorph_energy_mev_per_atom": 576}

# 20
{"formula": "BeTcBr", "functional": "PBE", "state": "optimized geometry", "lattice": [[4.128, 0.000, 0.000], [-2.064, 3.575, 0.000], [0.000, 0.000, 3.074]], "species": ["Be", "Tc", "Br"], "fractional_positions": [[0.000, 0.000, 0.832], [0.333, 0.667, 0.834], [0.667, 0.333, 0.334]], "sg": "P3m1, No. 156", "polymorph_energy_mev_per_atom": 578}

Volume: 16.03 15.19 17.68 21.17 27.25 28.96 29.41 14.45 17.94 13.72 13.08 19.87 16.19 13.10 21.94 16.50 16.56 13.22 14.96 15.12 (A^3/atom)
Total magnetization: 0.00 0.00 0.00 0.00 0.00 0.00 0.00 0.00 1.23 0.00 0.00 2.56 0.00 0.06 0.00 0.21 0.00 0.00 0.00 0.31 (μB/f.u.)
Formation energy (no corrections): 0.41 1.32 1.24 1.14 -1.06 -0.67 -1.27 0.48 0.51 0.77 0.67 0.91 0.48 0.88 0.07 1.22 0.96 1.08 0.87 1.06 (eV per atom)